A crystal of CoTc2Mo relaxed with PBEsol, computed with meta-GGA SCAN.

Output
polymorph energy (0 for the lowest one): 11.7 meV per atom
energy relative to the elements: 0.112 eV/atom
space-group type: No. 225

```
data_CoTc2Mo
_chemical_formula_sum 'Co1 Tc2 Mo1'
_symmetry_space_group_name_H-M 'P 1'
_symmetry_Int_Tables_number 1
_cell_length_a 4.249
_cell_length_b 4.249
_cell_length_c 4.249
_cell_angle_alpha 60.00
_cell_angle_beta 60.00
_cell_angle_gamma 60.00
loop_
_symmetry_equiv_pos_as_xyz
'x,y,z'
loop_
_atom_site_label
_atom_site_fract_x
_atom_site_fract_y
_atom_site_fract_z
Tc1 0.250 0.250 0.250
Tc2 0.750 0.750 0.750
Mo1 0.500 0.500 0.500
Co1 0.000 0.000 0.000
```



A crystal of CoTcMo4 relaxed with PBEsol, computed with meta-GGA SCAN.

Output
energy relative to the elements: 0.494 eV/atom
space-group type: No. 216

```
data_CoTcMo4
_chemical_formula_sum 'Co1 Tc1 Mo4'
_symmetry_space_group_name_H-M 'P 1'
_symmetry_Int_Tables_number 1
_cell_length_a 5.043
_cell_length_b 5.043
_cell_length_c 5.043
_cell_angle_alpha 60.00
_cell_angle_beta 60.00
_cell_angle_gamma 60.00
loop_
_symmetry_equiv_pos_as_xyz
'x,y,z'
loop_
_atom_site_label
_atom_site_fract_x
_atom_site_fract_y
_atom_site_fract_z
Mo1 0.124 0.625 0.625
Mo2 0.625 0.124 0.625
Mo3 0.625 0.625 0.625
Mo4 0.625 0.625 0.124
Tc1 0.250 0.250 0.250
Co1 0.000 0.000 0.000
```



A crystal of CoTc2Mo relaxed with PBEsol, computed with meta-GGA SCAN.

Output
polymorph energy (0 for the lowest one): 62.1 meV per atom
energy relative to the elements: 0.163 eV/atom
space-group type: No. 216

```
data_CoTc2Mo
_chemical_formula_sum 'Co1 Tc2 Mo1'
_symmetry_space_group_name_H-M 'P 1'
_symmetry_Int_Tables_number 1
_cell_length_a 4.250
_cell_length_b 4.250
_cell_length_c 4.250
_cell_angle_alpha 60.00
_cell_angle_beta 60.00
_cell_angle_gamma 60.00
loop_
_symmetry_equiv_pos_as_xyz
'x,y,z'
loop_
_atom_site_label
_atom_site_fract_x
_atom_site_fract_y
_atom_site_fract_z
Mo1 0.250 0.250 0.250
Tc1 0.750 0.750 0.750
Tc2 0.000 0.000 0.000
Co1 0.500 0.500 0.500
```



A crystal of CoTc2Mo relaxed with PBEsol, computed with meta-GGA SCAN.

Output
polymorph energy (0 for the lowest one): 0.0 meV per atom
energy relative to the elements: 0.101 eV/atom
space-group type: No. 123

```
data_CoTc2Mo
_chemical_formula_sum 'Co1 Tc2 Mo1'
_symmetry_space_group_name_H-M 'P 1'
_symmetry_Int_Tables_number 1
_cell_length_a 3.745
_cell_length_b 3.745
_cell_length_c 3.775
_cell_angle_alpha 90.00
_cell_angle_beta 90.00
_cell_angle_gamma 90.00
loop_
_symmetry_equiv_pos_as_xyz
'x,y,z'
loop_
_atom_site_label
_atom_site_fract_x
_atom_site_fract_y
_atom_site_fract_z
Tc1 0.500 0.000 0.000
Tc2 0.000 0.500 0.000
Mo1 0.000 0.000 0.500
Co1 0.500 0.500 0.500
```



A crystal of Co2TeMo2 relaxed with PBEsol, computed with meta-GGA SCAN.

Output
formation energy from raw total energies: 590 meV/atom
space-group type: No. 139

```
data_Co2TeMo2
_chemical_formula_sum 'Co2 Te1 Mo2'
_symmetry_space_group_name_H-M 'P 1'
_symmetry_Int_Tables_number 1
_cell_length_a 3.783
_cell_length_b 3.783
_cell_length_c 6.018
_cell_angle_alpha 108.32
_cell_angle_beta 108.32
_cell_angle_gamma 90.00
loop_
_symmetry_equiv_pos_as_xyz
'x,y,z'
loop_
_atom_site_label
_atom_site_fract_x
_atom_site_fract_y
_atom_site_fract_z
Co1 0.396 0.396 0.792
Co2 0.604 0.604 0.208
Te1 0.000 0.000 0.000
Mo1 0.250 0.750 0.500
Mo2 0.750 0.250 0.500
```



A crystal of Co2TeMo relaxed with PBEsol, computed with meta-GGA SCAN.

Output
formation energy from raw total energies: 499 meV/atom
space-group type: No. 44

```
data_Co2TeMo
_chemical_formula_sum 'Co2 Te1 Mo1'
_symmetry_space_group_name_H-M 'P 1'
_symmetry_Int_Tables_number 1
_cell_length_a 3.518
_cell_length_b 3.926
_cell_length_c 4.760
_cell_angle_alpha 114.35
_cell_angle_beta 111.69
_cell_angle_gamma 90.00
loop_
_symmetry_equiv_pos_as_xyz
'x,y,z'
loop_
_atom_site_label
_atom_site_fract_x
_atom_site_fract_y
_atom_site_fract_z
Te1 0.261 0.761 0.523
Co1 0.992 0.992 0.985
Co2 0.738 0.238 0.475
Mo1 0.509 0.509 0.018
```



A crystal of CoTe2Mo relaxed with PBEsol, computed with meta-GGA SCAN.

Output
formation energy from raw total energies: 449 meV/atom
space-group type: No. 225

```
data_CoTe2Mo
_chemical_formula_sum 'Co1 Te2 Mo1'
_symmetry_space_group_name_H-M 'P 1'
_symmetry_Int_Tables_number 1
_cell_length_a 4.629
_cell_length_b 4.629
_cell_length_c 4.629
_cell_angle_alpha 60.00
_cell_angle_beta 60.00
_cell_angle_gamma 60.00
loop_
_symmetry_equiv_pos_as_xyz
'x,y,z'
loop_
_atom_site_label
_atom_site_fract_x
_atom_site_fract_y
_atom_site_fract_z
Co1 0.500 0.500 0.500
Te1 0.750 0.750 0.750
Te2 0.250 0.250 0.250
Mo1 0.000 0.000 0.000
```



A crystal of Co2TeMo relaxed with PBEsol, computed with meta-GGA SCAN.

Output
formation energy from raw total energies: 480 meV/atom
space-group type: No. 8

```
data_Co2TeMo
_chemical_formula_sum 'Co2 Te1 Mo1'
_symmetry_space_group_name_H-M 'P 1'
_symmetry_Int_Tables_number 1
_cell_length_a 3.128
_cell_length_b 4.432
_cell_length_c 4.464
_cell_angle_alpha 100.10
_cell_angle_beta 90.00
_cell_angle_gamma 110.67
loop_
_symmetry_equiv_pos_as_xyz
'x,y,z'
loop_
_atom_site_label
_atom_site_fract_x
_atom_site_fract_y
_atom_site_fract_z
Co1 0.250 0.500 0.751
Co2 0.989 0.978 0.974
Te1 0.744 0.488 0.208
Mo1 0.517 0.034 0.567
```



A crystal of Ti3CoMo relaxed with PBEsol, computed with meta-GGA SCAN.

Output
energy relative to the elements: 0.527 eV/atom
space-group type: No. 221

```
data_Ti3CoMo
_chemical_formula_sum 'Ti3 Co1 Mo1'
_symmetry_space_group_name_H-M 'P 1'
_symmetry_Int_Tables_number 1
_cell_length_a 4.360
_cell_length_b 4.360
_cell_length_c 4.360
_cell_angle_alpha 90.00
_cell_angle_beta 90.00
_cell_angle_gamma 90.00
loop_
_symmetry_equiv_pos_as_xyz
'x,y,z'
loop_
_atom_site_label
_atom_site_fract_x
_atom_site_fract_y
_atom_site_fract_z
Ti1 0.500 0.000 0.000
Ti2 0.000 0.000 0.500
Ti3 0.000 0.500 0.000
Mo1 0.500 0.500 0.500
Co1 0.000 0.000 0.000
```



A crystal of YTiCo2Mo relaxed with PBEsol, computed with meta-GGA SCAN.

Output
energy relative to the elements: 0.669 eV/atom
space-group type: No. 123

```
data_YTiCo2Mo
_chemical_formula_sum 'Y1 Ti1 Co2 Mo1'
_symmetry_space_group_name_H-M 'P 1'
_symmetry_Int_Tables_number 1
_cell_length_a 4.465
_cell_length_b 4.508
_cell_length_c 4.508
_cell_angle_alpha 90.00
_cell_angle_beta 90.00
_cell_angle_gamma 90.00
loop_
_symmetry_equiv_pos_as_xyz
'x,y,z'
loop_
_atom_site_label
_atom_site_fract_x
_atom_site_fract_y
_atom_site_fract_z
Co1 0.000 0.500 0.000
Co2 0.000 0.000 0.500
Mo1 0.000 0.000 0.000
Y1 0.500 0.500 0.500
Ti1 0.500 0.000 0.000
```



A crystal of TlCoMo relaxed with PBEsol, computed with meta-GGA SCAN.

Output
energy relative to the elements: 0.833 eV/atom
space-group type: No. 156

```
data_TlCoMo
_chemical_formula_sum 'Tl1 Co1 Mo1'
_symmetry_space_group_name_H-M 'P 1'
_symmetry_Int_Tables_number 1
_cell_length_a 2.788
_cell_length_b 4.374
_cell_length_c 4.374
_cell_angle_alpha 120.00
_cell_angle_beta 90.00
_cell_angle_gamma 90.00
loop_
_symmetry_equiv_pos_as_xyz
'x,y,z'
loop_
_atom_site_label
_atom_site_fract_x
_atom_site_fract_y
_atom_site_fract_z
Mo1 0.668 0.667 0.333
Tl1 0.168 0.333 0.667
Co1 0.164 0.000 0.000
```



A crystal of TlCo2Mo relaxed with PBEsol, computed with meta-GGA SCAN.

Output
polymorph energy (0 for the lowest one): 178.9 meV per atom
energy relative to the elements: 0.755 eV/atom
space-group type: No. 119

```
data_TlCo2Mo
_chemical_formula_sum 'Tl1 Co2 Mo1'
_symmetry_space_group_name_H-M 'P 1'
_symmetry_Int_Tables_number 1
_cell_length_a 3.670
_cell_length_b 3.670
_cell_length_c 4.866
_cell_angle_alpha 112.16
_cell_angle_beta 112.16
_cell_angle_gamma 90.00
loop_
_symmetry_equiv_pos_as_xyz
'x,y,z'
loop_
_atom_site_label
_atom_site_fract_x
_atom_site_fract_y
_atom_site_fract_z
Tl1 0.250 0.750 0.500
Mo1 0.500 0.500 0.000
Co1 0.000 0.000 0.000
Co2 0.750 0.250 0.500
```



A crystal of TlCoMo2 relaxed with PBEsol, computed with meta-GGA SCAN.

Output
polymorph energy (0 for the lowest one): 0.0 meV per atom
energy relative to the elements: 0.497 eV/atom
space-group type: No. 123

```
data_TlCoMo2
_chemical_formula_sum 'Tl1 Co1 Mo2'
_symmetry_space_group_name_H-M 'P 1'
_symmetry_Int_Tables_number 1
_cell_length_a 3.758
_cell_length_b 3.758
_cell_length_c 4.318
_cell_angle_alpha 90.00
_cell_angle_beta 90.00
_cell_angle_gamma 90.00
loop_
_symmetry_equiv_pos_as_xyz
'x,y,z'
loop_
_atom_site_label
_atom_site_fract_x
_atom_site_fract_y
_atom_site_fract_z
Mo1 0.500 0.000 0.000
Mo2 0.000 0.500 0.000
Co1 0.000 0.000 0.500
Tl1 0.500 0.500 0.500
```



A crystal of TlCo2Mo2 relaxed with PBEsol, computed with meta-GGA SCAN.

Output
energy relative to the elements: 0.761 eV/atom
space-group type: No. 139

```
data_TlCo2Mo2
_chemical_formula_sum 'Tl1 Co2 Mo2'
_symmetry_space_group_name_H-M 'P 1'
_symmetry_Int_Tables_number 1
_cell_length_a 3.697
_cell_length_b 3.697
_cell_length_c 6.228
_cell_angle_alpha 107.27
_cell_angle_beta 107.27
_cell_angle_gamma 90.00
loop_
_symmetry_equiv_pos_as_xyz
'x,y,z'
loop_
_atom_site_label
_atom_site_fract_x
_atom_site_fract_y
_atom_site_fract_z
Co1 0.250 0.750 0.500
Co2 0.750 0.250 0.500
Tl1 0.000 0.000 0.000
Mo1 0.615 0.615 0.231
Mo2 0.385 0.385 0.769
```



A crystal of TlCo2Mo relaxed with PBEsol, computed with meta-GGA SCAN.

Output
polymorph energy (0 for the lowest one): 0.0 meV per atom
energy relative to the elements: 0.576 eV/atom
space-group type: No. 123

```
data_TlCo2Mo
_chemical_formula_sum 'Tl1 Co2 Mo1'
_symmetry_space_group_name_H-M 'P 1'
_symmetry_Int_Tables_number 1
_cell_length_a 2.800
_cell_length_b 2.800
_cell_length_c 7.144
_cell_angle_alpha 90.00
_cell_angle_beta 90.00
_cell_angle_gamma 90.00
loop_
_symmetry_equiv_pos_as_xyz
'x,y,z'
loop_
_atom_site_label
_atom_site_fract_x
_atom_site_fract_y
_atom_site_fract_z
Co1 0.000 0.000 0.773
Co2 0.000 0.000 0.227
Mo1 0.500 0.500 0.000
Tl1 0.500 0.500 0.500
```